Entry 1:
# HoSc3Al4

An optimized crystal structure of HoSc3Al4 (PBE, Alexandria).

It has space group Pmma (No. 51), with a = 9.822 Å, b = 6.459 Å, c = 5.112 Å, α = 90.00°, β = 90.00° and γ = 90.00°. The inequivalent atoms are Ho at (0.000, 0.000, 0.000), Sc at (0.000, 0.500, 0.000), Sc at (0.250, 0.000, 0.406), Sc at (0.250, 0.500, 0.384), Al at (0.000, 0.264, 0.500) and Al at (0.250, 0.264, 0.876).

Its crystal system is orthorhombic. The formation energy comes out at -0.4267 eV per atom.


Entry 2:
# Tb8Y2Er

An optimized crystal structure of Tb8Y2Er (PBE, Alexandria).

It has space group C2/m (No. 12), with a = 9.048 Å, b = 16.419 Å, c = 5.900 Å, α = 90.00°, β = 125.33° and γ = 90.00°. The inequivalent atoms are Tb at (0.000, 0.204, 0.000), Tb at (0.065, 0.500, 0.792), Tb at (0.218, 0.120, 0.689), Y at (0.000, 0.310, 0.500) and Er at (0.000, 0.000, 0.000).

Its crystal system is monoclinic. The formation energy comes out at 0.1536 eV per atom.


Entry 3:
# InGeHF2

An optimized crystal structure of InGeHF2 (PBE, Alexandria).

It has space group P4/mmm (No. 123), with a = 4.003 Å, b = 4.003 Å, c = 5.495 Å, α = 90.00°, β = 90.00° and γ = 90.00°. The inequivalent atoms are In at (0.000, 0.000, 0.000), Ge at (0.000, 0.000, 0.500), H at (0.500, 0.500, 0.000) and F at (0.000, 0.500, 0.500).

The value obtained for the total energy is -18.73 eV/cell. Its crystal system is tetragonal.


Entry 4:
# GaSn2Pt8

An optimized crystal structure of GaSn2Pt8 (PBE, Alexandria).

It has space group C2/m (No. 12), with a = 16.177 Å, b = 4.299 Å, c = 5.762 Å, α = 90.00°, β = 109.10° and γ = 90.00°. The inequivalent atoms are Ga at (0.000, 0.000, 0.000), Sn at (0.173, 0.500, 0.709), Pt at (0.009, 0.500, 0.750), Pt at (0.114, 0.000, 0.408), Pt at (0.147, 0.000, 0.954) and Pt at (0.209, 0.500, 0.280).

Its crystal system is monoclinic. The formation energy comes out at -0.2986 eV per atom.


no.,N(E_F) (states/eV/atom)
1,0.47
2,1.41
3,0.07
4,0.43